1.
The following is a DFT calculation (GGA-PBE) of a relaxed structure of Zn2Cu3Ir.

Lattice parameters (Å, degrees): 7.770 7.770 7.671 120.42 120.42 90.00
Fractional coordinates of all 24 atoms:
Cu (0.681, 0.319, 0.000)
Cu (0.931, 0.069, 0.500)
Cu (0.319, 0.681, 0.000)
Cu (0.319, 0.319, 0.000)
Cu (0.125, 0.875, 0.250)
Cu (0.625, 0.875, 0.750)
Cu (0.569, 0.069, 0.500)
Cu (0.931, 0.431, 0.500)
Cu (0.681, 0.681, 0.000)
Cu (0.125, 0.375, 0.250)
Cu (0.125, 0.875, 0.750)
Cu (0.569, 0.431, 0.500)
Zn (0.274, 0.095, 0.190)
Zn (0.335, 0.655, 0.310)
Zn (0.345, 0.665, 0.690)
Zn (0.976, 0.655, 0.310)
Zn (0.905, 0.085, 0.810)
Zn (0.905, 0.726, 0.810)
Zn (0.345, 0.024, 0.690)
Zn (0.915, 0.095, 0.190)
Ir (0.555, 0.055, 0.111)
Ir (0.945, 0.445, 0.889)
Ir (0.305, 0.305, 0.611)
Ir (0.695, 0.695, 0.389)

Properties
**Final energy**: -3.88 eV per atom
**Size of the total moment**: 0.00 μB/f.u.
**Space-group type**: I4_1/amd, No. 141
**Formation energy from the elements**: 70 meV per atom
**V**: 13.47 Å³/atom
**Fermi-level density of states**: 1.810 states/eV/f.u.

=====

2.
The following is a DFT calculation (GGA-PBE) of a relaxed structure of Zn6CuIr.

Lattice parameters (Å, degrees): 5.135 5.135 5.135 87.15 87.15 87.15
Fractional coordinates of all 8 atoms:
Zn (0.457, 0.839, 0.839)
Zn (0.839, 0.457, 0.839)
Zn (0.543, 0.161, 0.161)
Zn (0.161, 0.161, 0.543)
Zn (0.161, 0.543, 0.161)
Zn (0.839, 0.839, 0.457)
Cu (0.000, 0.000, 0.000)
Ir (0.500, 0.500, 0.500)

Properties
**Final energy**: -2.36 eV per atom
**Size of the total moment**: 0.00 μB/f.u.
**Space-group type**: R-3m, No. 166
**Formation energy from the elements**: 212 meV per atom
**Energy above the most stable polymorph in this dataset**: 215.4 meV/atom
**V**: 16.86 Å³/atom
**Fermi-level density of states**: 4.358 states/eV/f.u.

=====

3.
The following is a DFT calculation (GGA-PBE) of a relaxed structure of ZnCu4Ir.

Lattice parameters (Å, degrees): 4.778 4.778 4.778 60.00 60.00 60.00
Fractional coordinates of all 6 atoms:
Cu (0.375, 0.375, 0.875)
Cu (0.375, 0.875, 0.375)
Cu (0.875, 0.375, 0.375)
Cu (0.375, 0.375, 0.375)
Zn (0.000, 0.000, 0.000)
Ir (0.750, 0.750, 0.750)

Properties
**Final energy**: -4.32 eV per atom
**Size of the total moment**: 0.00 μB/f.u.
**Space-group type**: F-43m, No. 216
**Formation energy from the elements**: 105 meV per atom
**Energy above the most stable polymorph in this dataset**: 128.8 meV/atom
**V**: 12.85 Å³/atom
**Fermi-level density of states**: 2.345 states/eV/f.u.